Compound: Bi2O5
Source: the Alexandria database
Functional: PBE
Structure: optimized geometry

Cell: 10.530 5.499 9.020 Å, 61.10 90.00 90.00°
Element x y z (fractional)
O 0.581 0.894 0.426
Bi 0.888 0.995 0.128
Bi 0.098 0.788 0.462
O 0.081 0.106 0.074
O 0.794 0.829 0.675
O 0.933 0.057 0.356
Bi 0.612 0.995 0.628
O 0.919 0.894 0.926
O 0.719 0.378 0.515
O 0.706 0.829 0.175
Bi 0.402 0.788 0.962
O 0.984 0.601 0.331
O 0.219 0.622 0.985
O 0.206 0.171 0.325
O 0.433 0.943 0.144
O 0.419 0.106 0.574
O 0.281 0.622 0.485
O 0.016 0.399 0.669
O 0.781 0.378 0.015
O 0.067 0.943 0.644
Bi 0.388 0.005 0.372
O 0.294 0.171 0.825
Bi 0.598 0.212 0.038
O 0.567 0.057 0.856
Bi 0.112 0.005 0.872
Bi 0.902 0.212 0.538
O 0.484 0.399 0.169
O 0.516 0.601 0.831

Summary:
- Formation energy (no corrections): -0.55 eV/atom
- DOS(E_F): 0.4345 states/eV per atom
- Spin magnetization: 0.001 μB/atom
- Energy above the lowest structure with this stoichiometry: 59 meV/atom

=====

Compound: BiO
Source: the Alexandria database
Functional: PBE
Structure: optimized geometry

Cell: 3.740 5.679 12.168 Å, 90.00 90.00 90.00°
Element x y z (fractional)
Bi 0.500 0.288 0.000
Bi 0.000 0.732 0.809
Bi 0.500 0.268 0.691
O 0.000 0.944 0.349
O 0.500 0.489 0.500
Bi 0.500 0.268 0.309
O 0.000 0.511 0.000
O 0.500 0.056 0.151
O 0.000 0.944 0.651
Bi 0.000 0.712 0.500
O 0.500 0.056 0.849
Bi 0.000 0.732 0.191

Summary:
- Formation energy (no corrections): -0.75 eV/atom
- DOS(E_F): 0.2409 states/eV per atom
- Spin magnetization: 0.000 μB/atom
- Energy above the lowest structure with this stoichiometry: 50 meV/atom

=====

Compound: BiO
Source: the Alexandria database
Functional: PBE
Structure: optimized geometry

Cell: 5.226 5.226 5.226 Å, 90.00 90.00 90.00°
Element x y z (fractional)
O 0.000 0.500 0.500
O 0.500 0.500 0.000
Bi 0.000 0.000 0.500
Bi 0.500 0.500 0.500
Bi 0.000 0.500 0.000
O 0.000 0.000 0.000
O 0.500 0.000 0.500
Bi 0.500 0.000 0.000

Summary:
- Formation energy (no corrections): -0.61 eV/atom
- DOS(E_F): 0.5063 states/eV per atom
- Spin magnetization: 0.000 μB/atom
- Energy above the lowest structure with this stoichiometry: 190 meV/atom

=====

Compound: BiO
Source: the Alexandria database
Functional: PBE
Structure: optimized geometry

Cell: 3.905 3.905 3.905 Å, 61.36 61.36 61.36°
Element x y z (fractional)
O 0.266 0.266 0.266
Bi 0.009 0.009 0.009

Summary:
- Formation energy (no corrections): -0.54 eV/atom
- DOS(E_F): 0.6037 states/eV per atom
- Spin magnetization: 0.000 μB/atom
- Energy above the lowest structure with this stoichiometry: 267 meV/atom